The following is a DFT calculation (PBE with a Hubbard U) of a relaxed structure of CdFePt2F.

The structure in POSCAR format:
```
CdFePt2F
1.0
4.9061 0.0000 0.0000
0.0000 3.7705 0.0000
0.0000 0.0000 4.9061
Pt F Cd Fe
2 1 1 1
direct
0.5000 0.0000 0.0000
0.0000 0.0000 0.5000
0.0000 0.5000 0.0000
0.5000 0.5000 0.5000
0.0000 0.0000 0.0000
```

## Properties
DOS(E_F), states/eV per cell: 1.7
Calculated density, g/cm3: 10.6
SG: No. 123
Final energy, eV/f.u.: -21.18
V, Å³/cell: 91